[1]
Computed, not measured: an optimized crystal structure of Ce3B2Ru7 at the PBE-GGA level of DFT.

Its magnetic moment is 0.00 μB/f.u. The formation enthalpy at 0 K is -0.38 eV/atom. The space group is Cmmm, No. 65.

```
Ce3B2Ru7
1.0
2.1140 -10.7011 0.0000
2.1140 10.7011 0.0000
0.0000 0.0000 4.2073
Ce B Ru
3 2 7
Cartesian
0.0000 0.0000 0.0000 Ce
2.1140 6.6686 0.0000 Ce
2.1140 -6.6686 0.0000 Ce
2.1140 2.1744 2.1036 B
2.1140 -2.1744 2.1036 B
2.1140 8.6395 2.1036 Ru
2.1140 4.2771 2.1036 Ru
2.1140 2.0668 0.0000 Ru
2.1140 0.0000 2.1036 Ru
2.1140 -2.0668 0.0000 Ru
2.1140 -4.2771 2.1036 Ru
2.1140 -8.6395 2.1036 Ru
```

=====

[2]
Computed, not measured: an optimized crystal structure of Ce2B7Ru12 at the PBE-GGA level of DFT.

Its magnetic moment is 0.00 μB/f.u. The formation enthalpy at 0 K is -0.19 eV/atom. The space group is P-6, No. 174.

```
Ce2B7Ru12
1.0
9.0213 0.0000 0.0000
-4.5106 7.8126 0.0000
0.0000 0.0000 3.7817
Ce B Ru
2 7 12
Cartesian
0.0000 0.0000 0.0000 Ce
0.0000 5.2084 1.8909 Ce
-1.2481 3.3230 0.0000 B
1.4682 1.8805 1.8909 B
-1.0088 7.2320 0.0000 B
2.2569 5.0703 0.0000 B
4.5106 2.6042 0.0000 B
6.6586 0.3312 1.8909 B
5.4051 5.6009 1.8909 B
-0.7538 2.2139 1.8909 Ru
-2.1900 5.3629 0.0000 Ru
-2.2164 7.3585 1.8909 Ru
0.9612 3.2346 0.0000 Ru
2.7476 1.4247 0.0000 Ru
3.0537 3.3341 1.8909 Ru
4.6070 0.9775 1.8909 Ru
1.2287 7.0278 0.0000 Ru
2.9702 6.0529 1.8909 Ru
4.3706 4.7208 0.0000 Ru
6.4136 1.6672 0.0000 Ru
5.8712 3.5010 1.8909 Ru
```

=====

[3]
Computed, not measured: an optimized crystal structure of Ce2B2SbRu5 at the PBE-GGA level of DFT.

The uncorrected formation energy comes out at -509 kJ/mol of formula units. Its magnetic moment is 0.00 μB/f.u. The space group is P4/mbm, No. 127.

```
Ce2B2SbRu5
1.0
9.7377 0.0000 0.0000
0.0000 9.7377 0.0000
0.0000 0.0000 3.1962
Ce B Sb Ru
4 4 2 10
Cartesian
1.7125 3.1564 0.0000 Ce
3.1564 8.0252 0.0000 Ce
6.5813 1.7125 0.0000 Ce
8.0252 6.5813 0.0000 Ce
1.1670 6.0359 0.0000 B
3.7018 1.1670 0.0000 B
6.0359 8.5707 0.0000 B
8.5707 3.7018 0.0000 B
0.0000 0.0000 0.0000 Sb
4.8688 4.8688 0.0000 Sb
0.0000 4.8688 1.5981 Ru
0.6912 7.5595 1.5981 Ru
2.1782 0.6912 1.5981 Ru
2.6906 5.5601 1.5981 Ru
4.1776 2.6906 1.5981 Ru
4.8688 0.0000 1.5981 Ru
5.5601 7.0471 1.5981 Ru
7.0471 4.1776 1.5981 Ru
7.5595 9.0464 1.5981 Ru
9.0464 2.1782 1.5981 Ru
```